Entry from Alexandria via LeMat-Bulk: a relaxed structure of K4DyU3S8 (PBE).

It has space group R-3m (No. 166, hexagonal axes), with a = 8.0876 Å, b = 8.0876 Å, c = 22.2725 Å, α = 90.00°, β = 90.00° and γ = 120.00°. The inequivalent atoms are K at (0.0000, 0.0000, 0.0000), K at (0.0000, 0.5000, 0.0000), Dy at (0.0000, 0.0000, 0.5000), U at (0.0000, 0.5000, 0.5000), S at (0.0000, 0.0000, 0.2346) and S at (0.0009, 0.5005, 0.2347).

The formation energy (no corrections) comes out at -144.6 kJ per mole of atoms. The calculated total energy is -299.577 eV per cell. The density of states at the Fermi level is 42.45 states/eV/cell.

---

Entry from Alexandria via LeMat-Bulk: a relaxed structure of K4Dy3US8 (PBE).

It has space group R-3m (No. 166, hexagonal axes), with a = 8.1170 Å, b = 8.1170 Å, c = 22.1337 Å, α = 90.00°, β = 90.00° and γ = 120.00°. The inequivalent atoms are K at (0.0000, 0.0000, 0.0000), K at (0.0000, 0.5000, 0.0000), Dy at (0.0000, 0.5000, 0.5000), U at (0.0000, 0.0000, 0.5000), S at (0.0000, 0.0000, 0.2340) and S at (0.0010, 0.5005, 0.7659).

The formation energy (no corrections) comes out at -168.5 kJ per mole of atoms. The calculated total energy is -271.338 eV per cell. The density of states at the Fermi level is 25.88 states/eV/cell.

---

Entry from Alexandria via LeMat-Bulk: a relaxed structure of K3Dy3VS8 (PBE).

It has space group R-3m (No. 166, hexagonal axes), with a = 7.8121 Å, b = 7.8121 Å, c = 22.5396 Å, α = 90.00°, β = 90.00° and γ = 120.00°. The inequivalent atoms are K at (0.0000, 0.5000, 0.0000), Dy at (0.0000, 0.5000, 0.5000), V at (0.0000, 0.0000, 0.5000), S at (0.0000, 0.0000, 0.2345) and S at (0.0313, 0.5156, 0.2287).

The formation energy (no corrections) comes out at -155.0 kJ per mole of atoms. The calculated total energy is -250.022 eV per cell. The density of states at the Fermi level is 18.52 states/eV/cell.